Entry 1:
# Ti3FeBi5O15 PBE+U optimized geometry
# - ΔE to the lowest computed polymorph (meV per atom) = 29
# - DOS(E_F) (states/eV per cell) = 0.00
data_Ti3FeBi5O15
_chemical_formula_sum 'Ti6 Fe2 Bi10 O30'
_space_group_name_H-M_alt 'C 1 m 1'
_space_group_IT_number 8
_space_group_name_Hall 'C -2y'
_cell_length_a 5.7031
_cell_length_b 5.5429
_cell_length_c 20.8413
_cell_angle_alpha 90.00
_cell_angle_beta 97.21
_cell_angle_gamma 90.00
loop_
_atom_site_label
_atom_site_fract_x
_atom_site_fract_y
_atom_site_fract_z
Ti1 0.0000 0.0000 0.0000
Ti2 0.0911 0.0000 0.1985
Ti3 0.2938 0.5000 0.5983
Fe1 0.4143 0.5000 0.8036
Bi1 0.0459 0.5000 0.3337
Bi2 0.1152 0.0000 0.4563
Bi3 0.2743 0.0000 0.6938
Bi4 0.3910 0.0000 0.8912
Bi5 0.4891 0.0000 0.1020
O1 0.0119 0.0000 0.9062
O2 0.0872 0.2412 0.6162
O3 0.1003 0.0000 0.0939
O4 0.1596 0.0000 0.2857
O5 0.2000 0.2354 0.8128
O6 0.2737 0.5000 0.5131
O7 0.3021 0.2400 0.0015
O8 0.3751 0.2418 0.1833
O9 0.3798 0.2491 0.3972
O10 0.4003 0.5000 0.7084

Entry 2:
# Ti3Fe2Bi6O18 PBE+U optimized geometry
# - E (eV/cell) = -400.120
data_Ti3Fe2Bi6O18
_chemical_formula_sum 'Ti6 Fe4 Bi12 O36'
_space_group_name_H-M_alt 'C 1 m 1'
_space_group_IT_number 8
_space_group_name_Hall 'C -2y'
_cell_length_a 5.7299
_cell_length_b 5.5663
_cell_length_c 24.9052
_cell_angle_alpha 90.00
_cell_angle_beta 95.45
_cell_angle_gamma 90.00
loop_
_atom_site_label
_atom_site_fract_x
_atom_site_fract_y
_atom_site_fract_z
Ti1 0.0000 0.0000 0.0000
Ti2 0.0671 0.0000 0.1639
Ti3 0.2404 0.5000 0.4975
Fe1 0.3417 0.5000 0.6699
Fe2 0.4352 0.5000 0.8365
Bi1 0.0077 0.5000 0.2748
Bi2 0.0719 0.0000 0.3767
Bi3 0.2094 0.0000 0.5766
Bi4 0.3062 0.0000 0.7417
Bi5 0.4029 0.0000 0.9085
Bi6 0.4778 0.0000 0.0840
O1 0.0233 0.0000 0.9224
O2 0.0312 0.2417 0.5130
O3 0.0924 0.0000 0.0785
O4 0.1271 0.2355 0.6779
O5 0.1312 0.0000 0.2371
O6 0.2182 0.2375 0.8451
O7 0.2282 0.5000 0.4270
O8 0.3036 0.2406 0.0023
O9 0.3376 0.5000 0.5908
O10 0.3419 0.2484 0.3288
O11 0.3571 0.2420 0.1524
O12 0.4325 0.5000 0.7569

Entry 3:
# TiFeBi2O6 PBE+U optimized geometry
# - DOS(E_F) (states/eV per cell) = 0.00
# - E (eV/cell) = -69.144
data_TiFeBi2O6
_chemical_formula_sum 'Ti1 Fe1 Bi2 O6'
_space_group_name_H-M_alt 'P 1'
_space_group_IT_number 1
_space_group_name_Hall 'P 1'
_cell_length_a 5.6545
_cell_length_b 5.6835
_cell_length_c 5.7396
_cell_angle_alpha 91.36
_cell_angle_beta 118.80
_cell_angle_gamma 119.24
loop_
_atom_site_label
_atom_site_fract_x
_atom_site_fract_y
_atom_site_fract_z
Ti1 0.0000 0.0000 0.0000
Fe1 0.9980 0.5003 0.4977
Bi1 0.4341 0.2171 0.6557
Bi2 0.4471 0.7247 0.1681
O1 0.1118 0.2644 0.8148
O2 0.1470 0.3442 0.3120
O3 0.4973 0.1568 0.3009
O4 0.5477 0.8493 0.8215
O5 0.9633 0.8064 0.3062
O6 0.9686 0.6951 0.8107

Entry 4:
# TlFeBi2O6 PBE+U optimized geometry
# - E (eV/cell) = -113.221
data_TlFeBi2O6
_chemical_formula_sum 'Tl2 Fe2 Bi4 O12'
_space_group_name_H-M_alt 'P 1 21/c 1'
_space_group_IT_number 14
_space_group_name_Hall '-P 2ybc'
_cell_length_a 5.5874
_cell_length_b 6.1308
_cell_length_c 9.8590
_cell_angle_alpha 90.00
_cell_angle_beta 123.98
_cell_angle_gamma 90.00
loop_
_atom_site_label
_atom_site_fract_x
_atom_site_fract_y
_atom_site_fract_z
Tl1 0.0000 0.0000 0.0000
Fe1 0.5000 0.0000 0.5000
Bi1 0.2162 0.0554 0.7259
O1 0.1517 0.1628 0.4712
O2 0.2318 0.7253 0.4178
O3 0.3856 0.0644 0.2675

Entry 5:
# Tl2FeBiO6 PBE+U optimized geometry
# - E (eV/cell) = -212.859
data_Tl2FeBiO6
_chemical_formula_sum 'Tl8 Fe4 Bi4 O24'
_space_group_name_H-M_alt 'C 1 2/c 1'
_space_group_IT_number 15
_space_group_name_Hall '-C 2yc'
_cell_length_a 10.4783
_cell_length_b 10.1016
_cell_length_c 5.8959
_cell_angle_alpha 90.00
_cell_angle_beta 95.25
_cell_angle_gamma 90.00
loop_
_atom_site_label
_atom_site_fract_x
_atom_site_fract_y
_atom_site_fract_z
Tl1 0.1823 0.1016 0.3000
Fe1 0.0000 0.2260 0.7500
Bi1 0.0000 0.4034 0.2500
O1 0.0960 0.2460 0.0649
O2 0.1099 0.3824 0.6196
O3 0.1277 0.0929 0.6502

Entry 6:
# TmFe2BiO6 PBE+U optimized geometry
# - DOS(E_F) (states/eV per cell) = 0.00
# - E (eV/cell) = -205.818
data_TmFe2BiO6
_chemical_formula_sum 'Tm3 Fe6 Bi3 O18'
_space_group_name_H-M_alt 'R 3'
_space_group_IT_number 146
_space_group_name_Hall 'R 3'
_cell_length_a 5.5288
_cell_length_b 5.5288
_cell_length_c 14.0722
_cell_angle_alpha 90.00
_cell_angle_beta 90.00
_cell_angle_gamma 120.00
loop_
_atom_site_label
_atom_site_fract_x
_atom_site_fract_y
_atom_site_fract_z
Tm1 0.0000 0.0000 0.0000
Fe1 0.0000 0.0000 0.2808
Fe2 0.0000 0.0000 0.7810
Bi1 0.0000 0.0000 0.5044
O1 0.0160 0.6206 0.0478
O2 0.0183 0.4248 0.5481

Please write out number 6 again, unchanged.
# TmFe2BiO6 PBE+U optimized geometry
# - DOS(E_F) (states/eV per cell) = 0.00
# - E (eV/cell) = -205.818
data_TmFe2BiO6
_chemical_formula_sum 'Tm3 Fe6 Bi3 O18'
_space_group_name_H-M_alt 'R 3'
_space_group_IT_number 146
_space_group_name_Hall 'R 3'
_cell_length_a 5.5288
_cell_length_b 5.5288
_cell_length_c 14.0722
_cell_angle_alpha 90.00
_cell_angle_beta 90.00
_cell_angle_gamma 120.00
loop_
_atom_site_label
_atom_site_fract_x
_atom_site_fract_y
_atom_site_fract_z
Tm1 0.0000 0.0000 0.0000
Fe1 0.0000 0.0000 0.2808
Fe2 0.0000 0.0000 0.7810
Bi1 0.0000 0.0000 0.5044
O1 0.0160 0.6206 0.0478
O2 0.0183 0.4248 0.5481